Record 1
Computed, not measured: crystalline Tm2CdHg3 at its relaxed geometry at the PBE level of DFT.

Cell: 5.081 8.967 6.264 Å, 90.00 90.00 90.00°
Atoms (fractional coordinates):
Tm 0.000 0.162 0.000
Tm 0.000 0.838 0.500
Tm 0.500 0.328 0.579
Tm 0.500 0.672 0.079
Cd 0.000 0.493 0.299
Cd 0.000 0.507 0.799
Hg 0.000 0.171 0.500
Hg 0.000 0.829 0.000
Hg 0.500 0.006 0.278
Hg 0.500 0.339 0.075
Hg 0.500 0.661 0.575
Hg 0.500 0.994 0.778

Calculated values
N(E_F): 0.41 states/eV/atom
symmetry: Pmc2_1 (26)
E above lowest polymorph: 0 meV/atom
energy of formation: -376.8 meV/atom
theoretical density: 12.24 g/cm³
total energy: -2.171 eV per atom
total magnetization: 0.0 μB per formula unit



Record 2
Computed, not measured: crystalline Tm5Cd2Hg12 at its relaxed geometry at the PBE level of DFT.

Cell: 8.532 8.532 7.261 Å, 91.08 91.08 62.12°
Atoms (fractional coordinates):
Tm 0.000 0.000 0.000
Tm 0.251 0.251 0.938
Tm 0.321 0.321 0.453
Tm 0.679 0.679 0.547
Tm 0.749 0.749 0.062
Cd 0.261 0.739 0.500
Cd 0.739 0.261 0.500
Hg 0.030 0.628 0.733
Hg 0.119 0.119 0.599
Hg 0.158 0.606 0.141
Hg 0.372 0.970 0.267
Hg 0.394 0.842 0.859
Hg 0.456 0.456 0.791
Hg 0.544 0.544 0.209
Hg 0.606 0.158 0.141
Hg 0.628 0.030 0.733
Hg 0.842 0.394 0.859
Hg 0.881 0.881 0.401
Hg 0.970 0.372 0.267

Calculated values
N(E_F): 0.50 states/eV/atom
symmetry: C2/m (12)
energy of formation: -233.6 meV/atom
theoretical density: 12.36 g/cm³
total energy: -1.697 eV per atom
total magnetization: 0.0 μB per formula unit



Record 3
Computed, not measured: crystalline Tm2Cd2Hg7 at its relaxed geometry at the PBE level of DFT.

Cell: 9.175 9.175 9.175 Å, 149.81 54.25 136.04°
Atoms (fractional coordinates):
Tm 0.208 0.000 0.208
Tm 0.792 0.000 0.792
Cd 0.220 0.220 0.000
Cd 0.508 0.008 0.500
Hg 0.085 0.714 0.371
Hg 0.325 0.493 0.832
Hg 0.344 0.714 0.629
Hg 0.637 0.275 0.362
Hg 0.662 0.493 0.168
Hg 0.802 0.802 0.000
Hg 0.913 0.275 0.638

Calculated values
N(E_F): 0.53 states/eV/atom
symmetry: Imm2 (44)
E above lowest polymorph: 0 meV/atom
energy of formation: -179.9 meV/atom
theoretical density: 12.19 g/cm³
total energy: -1.351 eV per atom
total magnetization: 0.0 μB per formula unit



Record 4
Computed, not measured: crystalline TmCd2Hg at its relaxed geometry at the PBE level of DFT.

Cell: 5.066 5.066 5.066 Å, 60.00 60.00 60.00°
Atoms (fractional coordinates):
Tm 0.000 0.000 0.000
Cd 0.250 0.250 0.250
Cd 0.750 0.750 0.750
Hg 0.500 0.500 0.500

Calculated values
N(E_F): 0.69 states/eV/atom
symmetry: Fm-3m (225)
E above lowest polymorph: 108 meV/atom
energy of formation: -165.5 meV/atom
theoretical density: 10.74 g/cm³
total energy: -1.816 eV per atom
total magnetization: 0.0 μB per formula unit



Record 5
Computed, not measured: crystalline Tm4Cd3Hg at its relaxed geometry at the PBE level of DFT.

Cell: 3.608 4.852 11.740 Å, 90.00 90.00 90.00°
Atoms (fractional coordinates):
Tm 0.000 0.000 0.000
Tm 0.000 0.500 0.314
Tm 0.500 0.000 0.496
Tm 0.500 0.500 0.818
Cd 0.000 0.000 0.732
Cd 0.000 0.500 0.582
Cd 0.500 0.500 0.081
Hg 0.500 0.000 0.236

Calculated values
N(E_F): 0.85 states/eV/atom
symmetry: Pmm2 (25)
E above lowest polymorph: 57 meV/atom
energy of formation: -294.7 meV/atom
theoretical density: 9.81 g/cm³
total energy: -2.911 eV per atom
total magnetization: 0.0 μB per formula unit



Record 6
Computed, not measured: crystalline TmCdHg3 at its relaxed geometry at the PBE level of DFT.

Cell: 5.052 5.077 9.435 Å, 90.00 105.07 90.00°
Atoms (fractional coordinates):
Tm 0.150 0.250 0.302
Tm 0.850 0.750 0.698
Cd 0.347 0.250 0.695
Cd 0.653 0.750 0.305
Hg 0.049 0.750 0.096
Hg 0.248 0.750 0.497
Hg 0.448 0.750 0.894
Hg 0.552 0.250 0.106
Hg 0.752 0.250 0.503
Hg 0.951 0.250 0.904

Calculated values
N(E_F): 0.21 states/eV/atom
symmetry: P2_1/m (11)
E above lowest polymorph: 0 meV/atom
energy of formation: -246.3 meV/atom
theoretical density: 12.55 g/cm³
total energy: -1.505 eV per atom
total magnetization: 0.0 μB per formula unit